No. 1
# TlSe2 | the Alexandria database | PBE | relaxed
# Volume ... 32.85 A^3/atom
# Distance to the lowest polymorph of the same formula ... 14 meV/atom
# Final energy ... -3.2742 eV/atom
# Formation energy from raw total energies ... -0.16 eV/atom
data_TlSe2
_chemical_formula_sum 'Tl2 Se4'
_space_group_name_H-M_alt 'P n n m'
_space_group_IT_number 58
_cell_length_a 5.673
_cell_length_b 7.161
_cell_length_c 4.852
_cell_angle_alpha 90.00
_cell_angle_beta 90.00
_cell_angle_gamma 90.00
loop_
_space_group_symop_operation_xyz
'x,y,z'
'-x,-y,-z'
'-x,-y,z'
'x,y,-z'
'x+1/2,-y+1/2,-z+1/2'
'-x+1/2,y+1/2,z+1/2'
'-x+1/2,y+1/2,-z+1/2'
'x+1/2,-y+1/2,z+1/2'
loop_
_atom_site_label
_atom_site_type_symbol
_atom_site_fract_x
_atom_site_fract_y
_atom_site_fract_z
_atom_site_occupancy
Tl1 Tl 0.000 0.000 0.000 1
Se1 Se 0.170 0.409 0.000 1

=====

No. 2
# Tl3Se | the Alexandria database | PBE | relaxed
# Volume ... 29.66 A^3/atom
# Final energy ... -2.8341 eV/atom
# Formation energy from raw total energies ... -0.19 eV/atom
data_Tl3Se
_chemical_formula_sum 'Tl6 Se2'
_space_group_name_H-M_alt 'I 4/m m m'
_space_group_IT_number 139
_space_group_name_Hall '-I 4 2'
_cell_length_a 4.790
_cell_length_b 4.790
_cell_length_c 10.342
_cell_angle_alpha 90.00
_cell_angle_beta 90.00
_cell_angle_gamma 90.00
loop_
_atom_site_label
_atom_site_type_symbol
_atom_site_fract_x
_atom_site_fract_y
_atom_site_fract_z
_atom_site_occupancy
Tl1 Tl 0.000 0.000 0.000 1
Tl2 Tl 0.000 0.500 0.250 1
Se1 Se 0.000 0.000 0.500 1

=====

No. 3
# TlSe | the Alexandria database | PBE | relaxed
# Volume ... 28.21 A^3/atom
# Final energy ... -3.0420 eV/atom
# Formation energy from raw total energies ... -0.12 eV/atom
data_TlSe
_chemical_formula_sum 'Tl4 Se4'
_space_group_name_H-M_alt 'C m c m'
_space_group_IT_number 63
_space_group_name_Hall '-C 2c 2'
_cell_length_a 3.015
_cell_length_b 12.211
_cell_length_c 6.131
_cell_angle_alpha 90.00
_cell_angle_beta 90.00
_cell_angle_gamma 90.00
loop_
_atom_site_label
_atom_site_type_symbol
_atom_site_fract_x
_atom_site_fract_y
_atom_site_fract_z
_atom_site_occupancy
Tl1 Tl 0.000 0.117 0.250 1
Se1 Se 0.000 0.372 0.250 1

=====

No. 4
# TlSe | the Alexandria database | PBE | relaxed
# Volume ... 31.94 A^3/atom
# Final energy ... -3.1452 eV/atom
# Formation energy from raw total energies ... -0.22 eV/atom
data_TlSe
_chemical_formula_sum 'Tl16 Se16'
_space_group_name_H-M_alt 'F d d d'
_space_group_IT_number 70
_cell_length_a 5.531
_cell_length_b 12.469
_cell_length_c 14.820
_cell_angle_alpha 90.00
_cell_angle_beta 90.00
_cell_angle_gamma 90.00
loop_
_space_group_symop_operation_xyz
'x,y,z'
'-x,-y,-z'
'-x+1/4,-y+1/4,z'
'x+1/4,y+1/4,-z'
'x,-y+1/4,-z+1/4'
'-x,y+1/4,z+1/4'
'-x+1/4,y,-z+1/4'
'x+1/4,-y,z+1/4'
'x,y+1/2,z+1/2'
'-x,-y+1/2,-z+1/2'
'-x+1/4,-y+3/4,z+1/2'
'x+1/4,y+3/4,-z+1/2'
'x,-y+3/4,-z+3/4'
'-x,y+3/4,z+3/4'
'-x+1/4,y+1/2,-z+3/4'
'x+1/4,-y+1/2,z+3/4'
'x+1/2,y,z+1/2'
'-x+1/2,-y,-z+1/2'
'-x+3/4,-y+1/4,z+1/2'
'x+3/4,y+1/4,-z+1/2'
'x+1/2,-y+1/4,-z+3/4'
'-x+1/2,y+1/4,z+3/4'
'-x+3/4,y,-z+3/4'
'x+3/4,-y,z+3/4'
'x+1/2,y+1/2,z'
'-x+1/2,-y+1/2,-z'
'-x+3/4,-y+3/4,z'
'x+3/4,y+3/4,-z'
'x+1/2,-y+3/4,-z+1/4'
'-x+1/2,y+3/4,z+1/4'
'-x+3/4,y+1/2,-z+1/4'
'x+3/4,-y+1/2,z+1/4'
loop_
_atom_site_label
_atom_site_type_symbol
_atom_site_fract_x
_atom_site_fract_y
_atom_site_fract_z
_atom_site_occupancy
Tl1 Tl 0.125 0.125 0.308 1
Se1 Se 0.110 0.375 0.875 1